[1]
Computed, not measured: a relaxed structure of K2MgI2 at the PBE-GGA level of DFT.

Computed properties:
formation energy (no corrections)	-0.8721	eV per atom
space group	P4/mbm
ΔE to the lowest computed polymorph	0.00	eV per formula unit

a b c (Å): 9.8787 9.8787 4.4279
angles (deg): 90.00 90.00 90.00
Fractional positions:
Mg  0.0000  0.0000  0.0000
Mg  0.5000  0.5000  0.0000
I  0.1505  0.3495  0.0000
I  0.8495  0.6505  0.0000
I  0.3495  0.8495  0.0000
I  0.6505  0.1505  0.0000
K  0.3494  0.1506  0.5000
K  0.1506  0.6506  0.5000
K  0.8494  0.3494  0.5000
K  0.6506  0.8494  0.5000

=====

[2]
Computed, not measured: a relaxed structure of PrDyS2 at the PBE-GGA level of DFT.

Computed properties:
formation energy (no corrections)	-2.0150	eV per atom
space group	C2/m
ΔE to the lowest computed polymorph	0.00	eV per formula unit

a b c (Å): 3.9707 3.9707 7.0368
angles (deg): 73.57 73.57 60.16
Fractional positions:
Dy  0.0000  0.0000  0.0000
Pr  0.5000  0.5000  0.5000
S  0.2564  0.2564  0.2306
S  0.7436  0.7436  0.7694

=====

[3]
Computed, not measured: a relaxed structure of ZrSc2Pd8 at the PBE-GGA level of DFT.

Computed properties:
space group	C2/m
energy relative to the elements	-799	kJ/mol of formula units

a b c (Å): 4.0746 6.5398 7.4976
angles (deg): 107.32 105.77 90.00
Fractional positions:
Pd  0.8577  0.8122  0.7154
Pd  0.0398  0.7230  0.0796
Pd  0.3216  0.0876  0.6432
Pd  0.5971  0.4514  0.1942
Pd  0.4029  0.5486  0.8058
Pd  0.1423  0.1878  0.2846
Pd  0.6784  0.9124  0.3568
Pd  0.9602  0.2770  0.9204
Sc  0.2199  0.6644  0.4398
Sc  0.7801  0.3356  0.5602
Zr  0.5000  0.0000  0.0000

=====

[4]
Computed, not measured: a relaxed structure of LaRuRh2 at the PBE-GGA level of DFT.

Computed properties:
space group	I4/mmm
ΔE to the lowest computed polymorph	0.28	eV per formula unit
energy relative to the elements	-11	kJ/mol of formula units

a b c (Å): 5.0145 5.0145 5.0145
angles (deg): 130.71 130.67 72.31
Fractional positions:
Rh  0.5000  0.5000  0.0000
Rh  0.0000  0.0000  0.0000
La  0.2500  0.7500  0.5000
Ru  0.7500  0.2500  0.5000

=====

[5]
Computed, not measured: a relaxed structure of Sc3MnGa at the PBE-GGA level of DFT.

Computed properties:
space group	Pm-3m
ΔE to the lowest computed polymorph	0.00	eV per formula unit
energy relative to the elements	76	kJ/mol of formula units

a b c (Å): 4.7883 4.7883 4.7883
angles (deg): 90.00 90.00 90.00
Fractional positions:
Sc  0.0000  0.0000  0.5000
Sc  0.0000  0.5000  0.0000
Sc  0.5000  0.0000  0.0000
Ga  0.5000  0.5000  0.5000
Mn  0.0000  0.0000  0.0000

=====

[6]
Computed, not measured: a relaxed structure of Th4Tl3Hg at the PBE-GGA level of DFT.

Computed properties:
space group	Fmmm
energy relative to the elements	-125	kJ/mol of formula units

a b c (Å): 5.8037 5.8036 8.4492
angles (deg): 115.71 115.71 74.76
Fractional positions:
Th  0.1239  0.1240  0.2479
Th  0.6240  0.6239  0.2479
Th  0.8761  0.8760  0.7521
Th  0.3760  0.3761  0.7521
Tl  0.0000  0.5000  0.0000
Tl  0.7494  0.2493  0.4987
Tl  0.2506  0.7507  0.5013
Hg  0.5000  0.0000  0.0000

=====

What did the second record say?
Computed, not measured: a relaxed structure of PrDyS2 at the PBE-GGA level of DFT.

Computed properties:
formation energy (no corrections)	-2.0150	eV per atom
space group	C2/m
ΔE to the lowest computed polymorph	0.00	eV per formula unit

a b c (Å): 3.9707 3.9707 7.0368
angles (deg): 73.57 73.57 60.16
Fractional positions:
Dy  0.0000  0.0000  0.0000
Pr  0.5000  0.5000  0.5000
S  0.2564  0.2564  0.2306
S  0.7436  0.7436  0.7694